This record from Alexandria via LeMat-Bulk describes crystalline Cr3BI at its relaxed geometry. The functional is GGA-PBE.

Lattice parameters (Å, degrees): 5.058 5.058 5.058 90.00 90.00 90.00
Fractional positions:
Cr (0.000, 0.000, 0.500)
Cr (0.000, 0.500, 0.000)
Cr (0.500, 0.000, 0.000)
B (0.500, 0.500, 0.500)
I (0.000, 0.000, 0.000)

The excess energy over the best structure of this formula in the dataset is 1600 meV per atom. For the spin magnetization, the calculation gives 12.03 μB per cell. As for the space group: Pm-3m, No. 221. The value obtained for the formation energy without anion corrections is 2295 meV/atom. The value obtained for the density of states at the Fermi level is 1.0 states/eV/f.u.